! HfScCu4, relaxed, DFT GGA-PBE; values from VASP
! - total moment (μB per cell) = 0.000
! - energy relative to the elements (meV per atom) = 145
! - SG = Pmmm (47)
! - DOS(E_F) (states/eV/f.u.) = 5.07
! - energy above the most stable polymorph in this dataset (meV per atom) = 274
&SYSTEM
  ibrav = 0, nat = 6, ntyp = 3
/
ATOMIC_SPECIES
Hf 178.49 Hf.upf
Sc 44.96 Sc.upf
Cu 63.55 Cu.upf
ATOMIC_POSITIONS crystal
Hf 0.000 0.000 0.000
Sc 0.500 0.500 0.500
Cu 0.000 0.500 0.230
Cu 0.000 0.500 0.770
Cu 0.500 0.000 0.265
Cu 0.500 0.000 0.735
CELL_PARAMETERS angstrom
3.046 0.000 0.000
0.000 3.844 0.000
0.000 0.000 8.636